Below is crystalline Li4MgNi3O8 at its relaxed geometry, with properties calculated at the PBE+U level.

Cell: 5.8002 5.7658 10.0472 Å, 90.00 124.62 90.00°
Last column: nearest neighbours and their distance in Å.
Positions (direct):
Li  0.0000  0.0000  0.0000  6 O 2.00-2.24
Li  0.0000  0.0000  0.5000  6 O 2.00-2.24
Li  0.0000  0.2457  0.2500  6 O 2.03-2.20
Li  0.0000  0.2500  0.7500  6 O 2.06-2.10
Li  0.0000  0.5000  0.0000  6 O 2.18-2.19
Li  0.0000  0.5000  0.5000  6 O 2.18-2.19
Li  0.0000  0.7500  0.2500  6 O 2.06-2.10
Li  0.0000  0.7543  0.7500  6 O 2.03-2.20
Mg  0.5000  0.2517  0.2500  6 O 2.03-2.05
Mg  0.5000  0.7483  0.7500  6 O 2.03-2.05
Ni  0.5000  0.0000  0.0000  6 O 1.90-1.91
Ni  0.5000  0.0000  0.5000  6 O 1.90-1.91
Ni  0.5000  0.2474  0.7500  6 O 1.93-2.11
Ni  0.5000  0.5000  0.0000  6 O 1.93-2.10
Ni  0.5000  0.5000  0.5000  6 O 1.93-2.10
Ni  0.5000  0.7526  0.2500  6 O 1.93-2.11
O  0.2564  0.2273  0.4954  3 Ni 1.91-2.11, 2 Li 2.00-2.03
O  0.2564  0.7727  0.9954  3 Ni 1.91-2.11, 2 Li 2.00-2.03
O  0.2812  0.4850  0.7641  2 Ni 1.93-1.95, 1 Mg 2.03, 1 Li 2.06
O  0.2812  0.5150  0.2641  2 Ni 1.93-1.95, 1 Mg 2.03, 1 Li 2.06
O  0.2825  0.2477  0.0022  2 Ni 1.91-1.93, 1 Mg 2.05, 1 Li 2.10
O  0.2825  0.7523  0.5022  2 Ni 1.91-1.93, 1 Mg 2.05, 1 Li 2.10
O  0.2861  0.0115  0.7703  2 Ni 1.90-1.93, 1 Mg 2.04, 1 Li 2.07
O  0.2861  0.9885  0.2703  2 Ni 1.90-1.93, 1 Mg 2.04, 1 Li 2.07
O  0.7139  0.0115  0.7297  2 Ni 1.90-1.93, 1 Mg 2.04, 1 Li 2.07
O  0.7139  0.9885  0.2297  2 Ni 1.90-1.93, 1 Mg 2.04, 1 Li 2.07
O  0.7175  0.2477  0.4978  2 Ni 1.91-1.93, 1 Mg 2.05, 1 Li 2.10
O  0.7175  0.7523  0.9978  2 Ni 1.91-1.93, 1 Mg 2.05, 1 Li 2.10
O  0.7188  0.4850  0.7359  2 Ni 1.93-1.95, 1 Mg 2.03, 1 Li 2.06
O  0.7188  0.5150  0.2359  2 Ni 1.93-1.95, 1 Mg 2.03, 1 Li 2.06
O  0.7436  0.2273  0.0046  3 Ni 1.91-2.11, 2 Li 2.00-2.03
O  0.7436  0.7727  0.5046  3 Ni 1.91-2.11, 2 Li 2.00-2.03

Values from the calculation:
magnetic moment = 4.000 Bohr magnetons per cell
space-group type = No. 13
ΔE to the lowest computed polymorph = 1 meV/atom